Dy3HoGa8 | PBE-GGA | optimized geometry

Properties
M_tot = 0.00 μB/cell
D(E_F) = 7.0 states/eV/f.u.
E_form = -555 meV/atom
ρ = 8.5 g/cm³
SG = R3m (160)
Calculated total energy = -49.26 eV for the cell shown

Cell lengths 5.4799, 5.4799, 9.6098 Å; angles 73.43, 73.43, 60.00 degrees
Last column: nearest neighbours and their distance in Å.
Positions (direct):
Ho (0.8757, 0.8757, 0.3730)  12 Ga 3.21-3.26, 4 Dy 3.37
Ga (0.1875, 0.1875, 0.4374)  6 Ga 2.76
Ga (0.4374, 0.4374, 0.1878)  6 Ga 2.74-2.77
Ga (0.9374, 0.4374, 0.1878)  6 Ga 2.74-2.77
Ga (0.9376, 0.9376, 0.6872)  6 Ga 2.74-2.77
Ga (0.4374, 0.9374, 0.1878)  6 Ga 2.74-2.77
Ga (0.9376, 0.4376, 0.6872)  6 Ga 2.74-2.77
Ga (0.6875, 0.6875, 0.9376)  6 Ga 2.77
Ga (0.4376, 0.9376, 0.6872)  6 Ga 2.74-2.77
Dy (0.9993, 0.9993, 0.0020)  12 Ga 3.22-3.27, 1 Ho 3.37, 3 Dy 3.37
Dy (0.3756, 0.3756, 0.8732)  12 Ga 3.22-3.26, 4 Dy 3.37
Dy (0.4995, 0.4995, 0.5016)  12 Ga 3.22-3.26, 1 Dy 3.37, 3 Ho 3.37